(1)
Er3Tm4S8 | PBE | optimized geometry

a = 7.6892 Å, b = 7.6892 Å, c = 7.6868 Å
α = 119.98°, β = 119.98°, γ = 90.01°
Fractional positions:
Er1 0.0000 0.0000 0.0000
Er2 0.0000 0.5000 0.0000
Er3 0.5000 0.0000 0.0000
Tm1 0.0000 0.5000 0.5000
Tm2 0.5000 0.0000 0.5000
Tm3 0.5000 0.5000 0.0000
Tm4 0.5000 0.5000 0.5000
S1 0.2494 0.7506 0.5000
S2 0.2500 0.2500 0.5013
S3 0.2502 0.2502 0.9990
S4 0.2506 0.7494 0.0000
S5 0.7494 0.2506 0.0000
S6 0.7498 0.7498 0.0010
S7 0.7500 0.7500 0.4987
S8 0.7506 0.2494 0.5000

Results
The value obtained for the calculated volume is 321.5 Å³/cell. For the raw formation energy, the calculation gives -195 kJ/mol of atoms.

(2)
ErTm4S5 | PBE | optimized geometry

a = 10.1743 Å, b = 10.1743 Å, c = 10.1743 Å
α = 158.18°, β = 149.06°, γ = 38.18°
Fractional positions:
Er1 0.0000 0.0000 0.0000
Tm1 0.2003 0.2003 0.0000
Tm2 0.4001 0.4001 0.0000
Tm3 0.5999 0.5999 0.0000
Tm4 0.7997 0.7997 0.0000
S1 0.1008 0.6008 0.5000
S2 0.3002 0.8002 0.5000
S3 0.5000 0.0000 0.5000
S4 0.6998 0.1998 0.5000
S5 0.8992 0.3992 0.5000

Results
The value obtained for the calculated volume is 201.0 Å³/cell. For the raw formation energy, the calculation gives -186 kJ/mol of atoms.

(3)
Er6Tm2S3 | PBE | optimized geometry

a = 24.2161 Å, b = 24.2161 Å, c = 24.2161 Å
α = 8.75°, β = 8.75°, γ = 8.75°
Fractional positions:
Er1 0.0695 0.0695 0.0695
Er2 0.1858 0.1858 0.1858
Er3 0.3570 0.3570 0.3570
Er4 0.6430 0.6430 0.6430
Er5 0.8142 0.8142 0.8142
Er6 0.9305 0.9305 0.9305
Tm1 0.4420 0.4420 0.4420
Tm2 0.5580 0.5580 0.5580
S1 0.0000 0.0000 0.0000
S2 0.2873 0.2873 0.2873
S3 0.7127 0.7127 0.7127

Results
The value obtained for the calculated volume is 284.9 Å³/cell. For the raw formation energy, the calculation gives -98 kJ/mol of atoms.

(4)
ErTmS2 | PBE | optimized geometry

a = 7.0363 Å, b = 7.0363 Å, c = 7.0363 Å
α = 31.05°, β = 31.05°, γ = 31.05°
Fractional positions:
Er1 0.0000 0.0000 0.0000
Tm1 0.1784 0.1784 0.1784
S1 0.4216 0.4216 0.4216
S2 0.5905 0.5905 0.5905

Results
The value obtained for the calculated volume is 82.2 Å³/cell. For the raw formation energy, the calculation gives -185 kJ/mol of atoms. Its excess energy over the best structure of this formula in the dataset is 27.9 meV per atom.

(5)
Er3Tm2S6 | PBE | optimized geometry

a = 6.6640 Å, b = 6.6640 Å, c = 6.6453 Å
α = 99.64°, β = 99.64°, γ = 119.80°
Fractional positions:
Er1 0.0000 0.0000 0.0000
Er2 0.3371 0.6629 0.0000
Er3 0.6629 0.3371 0.0000
Tm1 0.1655 0.8345 0.5000
Tm2 0.8345 0.1655 0.5000
S1 0.0830 0.4170 0.2508
S2 0.2494 0.2494 0.7440
S3 0.4170 0.0830 0.2508
S4 0.5830 0.9170 0.7492
S5 0.7506 0.7506 0.2560
S6 0.9170 0.5830 0.7492

Results
The value obtained for the calculated volume is 241.4 Å³/cell. For the raw formation energy, the calculation gives -198 kJ/mol of atoms.

(6)
Er2TmS | PBE | optimized geometry

a = 10.1323 Å, b = 10.1323 Å, c = 10.1323 Å
α = 20.49°, β = 20.49°, γ = 20.49°
Fractional positions:
Er1 0.1113 0.1113 0.1113
Er2 0.8887 0.8887 0.8887
Tm1 0.0000 0.0000 0.0000
S1 0.5000 0.5000 0.5000

Results
The value obtained for the calculated volume is 111.6 Å³/cell. For the raw formation energy, the calculation gives -67 kJ/mol of atoms.

(7)
Er3Tm5S8 | PBE | optimized geometry

a = 7.7024 Å, b = 7.7024 Å, c = 7.7024 Å
α = 59.97°, β = 59.97°, γ = 59.97°
Fractional positions:
Er1 0.0000 0.5000 0.5000
Er2 0.5000 0.0000 0.5000
Er3 0.5000 0.5000 0.0000
Tm1 0.0000 0.0000 0.0000
Tm2 0.0000 0.0000 0.5000
Tm3 0.0000 0.5000 0.0000
Tm4 0.5000 0.0000 0.0000
Tm5 0.5000 0.5000 0.5000
S1 0.2484 0.7500 0.7500
S2 0.2492 0.2492 0.2492
S3 0.2500 0.2500 0.7516
S4 0.2500 0.7516 0.2500
S5 0.7500 0.2484 0.7500
S6 0.7500 0.7500 0.2484
S7 0.7508 0.7508 0.7508
S8 0.7516 0.2500 0.2500

Results
The value obtained for the calculated volume is 322.9 Å³/cell. For the raw formation energy, the calculation gives -187 kJ/mol of atoms.

(8)
Er5TmS6 | PBE | optimized geometry

a = 6.6972 Å, b = 6.6972 Å, c = 6.6734 Å
α = 99.67°, β = 99.67°, γ = 120.14°
Fractional positions:
Er1 0.0000 0.0000 0.0000
Er2 0.1669 0.8331 0.5000
Er3 0.3326 0.6674 0.0000
Er4 0.6674 0.3326 0.0000
Er5 0.8331 0.1669 0.5000
Tm1 0.5000 0.5000 0.5000
S1 0.0850 0.4169 0.2509
S2 0.2511 0.2511 0.7496
S3 0.4169 0.0850 0.2509
S4 0.5831 0.9150 0.7491
S5 0.7489 0.7489 0.2504
S6 0.9150 0.5831 0.7491

Results
The value obtained for the calculated volume is 243.8 Å³/cell. For the raw formation energy, the calculation gives -188 kJ/mol of atoms.